! PBE-GGA ErZrTc, relaxed; values from VASP
! SG: C2/m
! DFT formation energy: 0.1010 eV per atom
! Crystal system: monoclinic
&SYSTEM
  ibrav = 0, nat = 6, ntyp = 3
/
ATOMIC_SPECIES
Er 167.26 Er.upf
Zr 91.22 Zr.upf
Tc 98.00 Tc.upf
CELL_PARAMETERS angstrom
-1.691 -0.268 -4.307
4.287 -0.660 -1.632
0.560 -7.019 -2.278
ATOMIC_POSITIONS angstrom
Er 2.997 -1.427 -3.366
Er 0.007 -1.231 -4.703
Zr 2.631 -4.705 -3.020
Zr -0.361 -4.509 -4.359
Tc 0.661 -2.821 -2.369
Tc 1.608 -6.393 -5.009



! PBE-GGA ZnTe3Cl, relaxed; values from VASP
! Formation energy from raw total energies: 0.36 eV per atom
! SG: Pm-3m
! Crystal system: cubic
&SYSTEM
  ibrav = 0, nat = 5, ntyp = 3
/
ATOMIC_SPECIES
Zn 65.41 Zn.upf
Te 127.60 Te.upf
Cl 35.45 Cl.upf
CELL_PARAMETERS angstrom
-1.253 5.115 -0.527
0.430 -0.436 -5.257
-5.124 -1.287 -0.312
ATOMIC_POSITIONS angstrom
Zn 0.000 0.000 0.000
Te 0.215 -0.218 -2.629
Te -2.562 -0.644 -0.156
Te -0.626 2.558 -0.263
Cl -2.974 1.696 -3.048



Number 1: calculated volume 23.7 Å³ per atom. Number 2: calculated volume 29.7 Å³ per atom.